! Y3Sc5Tl2 PBE relaxed; values from VASP
&SYSTEM
  ibrav = 0, nat = 20, ntyp = 3
/
ATOMIC_SPECIES
Y 88.91 Y.upf
Sc 44.96 Sc.upf
Tl 204.38 Tl.upf
CELL_PARAMETERS angstrom
-3.927 10.641 3.225
3.927 -10.641 3.225
3.927 10.641 -3.225
ATOMIC_POSITIONS crystal
Y 0.128 0.660 0.788
Y 0.250 0.250 0.000
Y 0.372 0.160 0.532
Y 0.628 0.840 0.468
Y 0.750 0.750 0.000
Y 0.872 0.340 0.212
Sc 0.082 0.250 0.832
Sc 0.226 0.316 0.542
Sc 0.250 0.750 0.500
Sc 0.274 0.816 0.090
Sc 0.418 0.250 0.168
Sc 0.582 0.750 0.832
Sc 0.726 0.184 0.910
Sc 0.750 0.250 0.500
Sc 0.774 0.684 0.458
Sc 0.918 0.750 0.168
Tl 0.085 0.265 0.351
Tl 0.415 0.765 0.180
Tl 0.585 0.235 0.820
Tl 0.915 0.735 0.649
! Magnetization   0.35 μB per formula unit
! V   539.0 Å³ per cell
! Crystal system   orthorhombic
! Formation energy   -0.7 eV per formula unit